(1)
Compound: LiDyPu2N4
Source: Alexandria
Functional: PBE
Structure: relaxed

Summary:
DOS(E_F) (states/eV/f.u.): 10.9
Magnetic moment (μB per formula unit): 8.001
ΔE_f (raw) (eV/atom): -1.159
Volume (Å³/atom): 13.302

Cell lengths 3.435, 5.825, 11.131 Å; angles 90.00, 90.00, 107.15 degrees
Site moments in Bohr magnetons follow the coordinates.
Fractional positions:
Pu1 0.370 0.740 0.559  4.26
N1 0.269 0.538 0.114  -0.19
Pu2 0.370 0.740 0.941  4.26
Dy1 0.894 0.788 0.250  0.07
Dy2 0.106 0.212 0.750  0.07
N2 0.000 0.000 0.000  -0.23
N3 0.731 0.462 0.886  -0.19
Li1 0.840 0.680 0.750  0.01
N4 0.269 0.538 0.386  -0.19
Li2 0.160 0.320 0.250  0.01
Pu3 0.630 0.260 0.059  4.26
N5 0.549 0.098 0.250  -0.16
Pu4 0.630 0.260 0.441  4.26
N6 0.731 0.462 0.614  -0.19
N7 0.451 0.902 0.750  -0.16
N8 0.000 0.000 0.500  -0.23

***

(2)
Compound: LiDyRe2N6
Source: Alexandria
Functional: PBE
Structure: relaxed

Summary:
DOS(E_F) (states/eV/f.u.): 0.0
Magnetic moment (μB per formula unit): 0.000
ΔE_f (raw) (eV/atom): -0.418
Volume (Å³/atom): 15.463

Cell lengths 6.171, 7.382, 7.382 Å; angles 85.37, 73.52, 73.52 degrees
Fractional positions:
N1 0.931 0.350 0.358
N2 0.839 0.023 0.211
Re1 0.785 0.615 0.789
Re2 0.285 0.789 0.615
Dy1 0.750 0.097 0.903
Dy2 0.250 0.903 0.097
Li1 0.750 0.762 0.238
N3 0.343 0.879 0.383
N4 0.069 0.650 0.642
N5 0.339 0.211 0.023
Re3 0.715 0.211 0.385
N6 0.157 0.617 0.121
N7 0.569 0.642 0.650
N8 0.431 0.358 0.350
N9 0.843 0.383 0.879
Li2 0.250 0.238 0.762
N10 0.661 0.789 0.977
N11 0.161 0.977 0.789
Re4 0.215 0.385 0.211
N12 0.657 0.121 0.617

***

(3)
Compound: LiDy2TaN4
Source: Alexandria
Functional: PBE
Structure: relaxed

Summary:
Magnetic moment (μB per formula unit): 0.000
ΔE_f (raw) (eV/atom): -1.360
Volume (Å³/atom): 13.378

Cell lengths 4.737, 4.737, 5.833 Å; angles 114.06, 114.06, 89.76 degrees
Fractional positions:
Dy1 0.183 0.683 0.500
Li1 0.445 0.445 0.000
N1 0.933 0.480 0.000
Ta1 0.891 0.891 0.000
N2 0.157 0.157 0.432
N3 0.725 0.725 0.568
Dy2 0.683 0.183 0.500
N4 0.480 0.933 0.000